Compound: NaLiGa2I8
Source: Alexandria via LeMat-Bulk
Functional: PBE
Structure: optimized geometry

As for the calculated total energy: -0.1873 Ry/atom. As for the crystal system: tetragonal. For the spin magnetization, the calculation gives 0.0 Bohr magnetons per cell. Its calculated volume is 1645.2 Å³ per cell. Its formation energy (no corrections) is -0.742 eV per atom.

It has space group I-4m2 (No. 119), with a = 15.003 Å, b = 15.003 Å, c = 7.309 Å, α = 90.00°, β = 90.00° and γ = 90.00°. The distinct sites, in fractional coordinates, are Na at (0.000, 0.000, 0.000), Li at (0.000, 0.500, 0.250), Ga at (0.000, 0.000, 0.500), Ga at (0.000, 0.500, 0.750), I at (0.000, 0.143, 0.300) and I at (0.000, 0.365, 0.972).


Compound: TiRe3N
Source: Alexandria via LeMat-Bulk
Functional: PBE
Structure: optimized geometry

As for the calculated total energy: -0.5515 Ry/atom. As for the crystal system: cubic. For the spin magnetization, the calculation gives 0.0 Bohr magnetons per cell. Its calculated volume is 92.9 Å³ per cell. Its formation energy (no corrections) is 3.209 eV per atom.

It has space group Pm-3m (No. 221), with a = 4.529 Å, b = 4.529 Å, c = 4.529 Å, α = 90.00°, β = 90.00° and γ = 90.00°. The distinct sites, in fractional coordinates, are Ti at (0.000, 0.000, 0.000), Re at (0.000, 0.000, 0.500) and N at (0.500, 0.500, 0.500).


Compound: Sr3Be
Source: Alexandria via LeMat-Bulk
Functional: PBE
Structure: optimized geometry

As for the calculated total energy: -0.1385 Ry/atom. As for the crystal system: orthorhombic. Its formation enthalpy at 0 K is 309 meV per atom. For the spin magnetization, the calculation gives 0.0 Bohr magnetons per cell. Its calculated volume is 673.5 Å³ per cell.

It has space group Cmcm (No. 63), with a = 10.862 Å, b = 14.274 Å, c = 4.344 Å, α = 90.00°, β = 90.00° and γ = 90.00°. The distinct sites, in fractional coordinates, are Sr at (0.000, 0.120, 0.250), Sr at (0.181, 0.367, 0.250) and Be at (0.000, 0.275, 0.750).